Compound: SiNi4Ge
Source: the Alexandria database
Functional: PBE
Structure: optimized geometry

Values from the calculation:
VASP energy   -5.958 eV/atom
Total moment   0.00 μB/f.u.
E_form (uncorrected)   -430.7 meV per atom
DOS(E_F)   0.228 states/eV/atom
Symmetry   Pnma, No. 62
Polymorph energy (0 for the lowest one)   0.0 meV per atom

Geometry as POSCAR:
```
SiNi4Ge
1.0
2.9295 0.0000 0.0000
0.0000 6.3678 0.0000
0.0000 0.0000 14.9900
Si Ni Ge
4 16 4
direct
0.7500 0.2505 0.4419
0.2500 0.7495 0.5581
0.2500 0.2495 0.9419
0.7500 0.7505 0.0581
0.7500 0.8769 0.6630
0.2500 0.1231 0.3370
0.2500 0.6231 0.1630
0.7500 0.3769 0.8370
0.7500 0.8813 0.4450
0.2500 0.1187 0.5550
0.2500 0.6187 0.9450
0.7500 0.3813 0.0550
0.7500 0.9695 0.9333
0.2500 0.0305 0.0667
0.2500 0.5305 0.4333
0.7500 0.4695 0.5667
0.7500 0.9464 0.2040
0.2500 0.0536 0.7960
0.2500 0.5536 0.7040
0.7500 0.4464 0.2960
0.7500 0.7394 0.8117
0.2500 0.2606 0.1883
0.2500 0.7606 0.3117
0.7500 0.2394 0.6883
```